The following is a DFT calculation (PBE) of crystalline Ni8Se at its relaxed geometry.

Cell: 5.6473 5.6473 5.6473 Å, 95.69 95.69 143.28°
Last column: nearest neighbours and their distance in Å.
Element x y z (fractional)
Ni  0.0000  0.3370  0.3370  11 Ni 2.47-2.54, 1 Se 2.55
Ni  0.0000  0.6630  0.6630  11 Ni 2.47-2.54, 1 Se 2.55
Ni  0.3301  0.3301  0.6601  10 Ni 2.47-2.58, 2 Se 2.55
Ni  0.3301  0.6699  0.0000  10 Ni 2.47-2.58, 2 Se 2.55
Ni  0.3370  0.0000  0.3370  11 Ni 2.47-2.54, 1 Se 2.55
Ni  0.6630  0.0000  0.6630  11 Ni 2.47-2.54, 1 Se 2.55
Ni  0.6699  0.3301  0.0000  10 Ni 2.47-2.58, 2 Se 2.55
Ni  0.6699  0.6699  0.3399  10 Ni 2.47-2.58, 2 Se 2.55
Se  0.0000  0.0000  0.0000  12 Ni 2.55

Results
N(E_F) = 13.008 states/eV/f.u.
ΔE_f (raw) = 0.04 eV per atom
theoretical density = 8.913 g/cm³
M_tot = 3.23 μB/f.u.


The following is a DFT calculation (PBE) of crystalline TaSbBr2 at its relaxed geometry.

Cell: 4.1350 3.5145 8.2884 Å, 90.00 104.39 90.00°
Last column: nearest neighbours and their distance in Å.
Element x y z (fractional)
Ta  0.0000  0.0000  0.0000  3 Br 2.70-2.73, 4 Sb 2.82-2.85
Sb  0.5549  0.5000  0.1019  4 Ta 2.82-2.85
Br  0.2004  0.0000  0.3392  1 Ta 2.73
Br  0.8859  0.5000  0.7450  2 Ta 2.70

Results
N(E_F) = 2.300 states/eV/f.u.
ΔE_f (raw) = -0.18 eV per atom
theoretical density = 6.583 g/cm³
ΔE to the lowest computed polymorph = 141 meV per atom
M_tot = 0.00 μB/f.u.